[1]
Computed, not measured: crystalline FeTc2Cl at its relaxed geometry at the PBE level of DFT.

```
FeTc2Cl
1.0
2.840 0.000 0.000
-1.420 2.459 0.000
0.000 0.000 25.121
Fe Tc Cl
3 6 3
Cartesian
0.000 0.000 0.000 Fe
0.000 1.640 16.747 Fe
1.420 0.820 8.374 Fe
0.000 0.000 6.166 Tc
0.000 0.000 12.512 Tc
0.000 1.640 4.139 Tc
0.000 1.640 22.913 Tc
1.420 0.820 14.540 Tc
1.420 0.820 20.886 Tc
0.000 0.000 18.555 Cl
0.000 1.640 10.182 Cl
1.420 0.820 1.808 Cl
```

Summary:
VASP energy (eV/atom): -7.515
SG: R3m, No. 160
Fermi-level density of states (states/eV/atom): 1.088



[2]
Computed, not measured: crystalline La5Sm2Y4 at its relaxed geometry at the PBE level of DFT.

```
La5Sm2Y4
1.0
12.044 -1.830 0.000
12.044 1.830 0.000
-2.254 0.000 8.666
La Sm Y
5 2 4
Cartesian
0.000 0.000 0.000 La
6.154 0.000 1.608 La
6.726 0.000 7.864 La
15.107 0.000 0.802 La
15.679 0.000 7.058 La
0.538 0.000 6.258 Sm
21.296 0.000 2.408 Sm
3.337 0.000 3.943 Y
9.530 0.000 5.482 Y
12.303 0.000 3.184 Y
18.496 0.000 4.723 Y
```

Summary:
VASP energy (eV/atom): -5.426
SG: C2/m, No. 12
Fermi-level density of states (states/eV/atom): 1.824



[3]
Computed, not measured: crystalline Re3TcOs at its relaxed geometry at the PBE level of DFT.

```
Re3TcOs
1.0
5.949 -5.085 0.000
5.949 5.085 0.000
-1.159 0.000 4.953
Re Tc Os
12 4 4
Cartesian
0.093 0.738 4.717 Re
4.132 3.191 2.726 Re
2.585 1.861 4.222 Re
0.672 -0.738 2.241 Re
6.028 3.191 4.704 Re
3.165 -1.861 1.746 Re
7.575 1.861 3.207 Re
4.712 -3.191 0.249 Re
10.068 0.738 2.712 Re
8.155 -1.861 0.731 Re
6.608 -3.191 2.227 Re
10.647 -0.738 0.236 Re
5.660 1.873 1.238 Tc
5.080 0.728 3.715 Tc
5.660 -0.728 1.238 Tc
5.080 -1.873 3.715 Tc
3.156 0.778 1.739 Os
2.577 -0.778 4.215 Os
8.163 0.778 0.738 Os
7.584 -0.778 3.214 Os
```

Summary:
VASP energy (eV/atom): -11.650
SG: C2/c, No. 15
Fermi-level density of states (states/eV/atom): 0.903



What is the formula in the third record?
Re3TcOs



Which value of VASP energy does entry 3 give?
-11.650 eV/atom